1.
## Ac2TeP2 (GGA-PBE)

Data for crystalline Ac2TeP2 at its relaxed geometry.

CIF file:
```
data_Ac2TeP2
_chemical_formula_sum 'Ac2 Te1 P2'
_space_group_name_H-M_alt 'P 1'
_space_group_IT_number 1
_space_group_name_Hall 'P 1'
_cell_length_a 4.796
_cell_length_b 4.796
_cell_length_c 8.100
_cell_angle_alpha 80.63
_cell_angle_beta 80.63
_cell_angle_gamma 66.30
loop_
_atom_site_label
_atom_site_fract_x
_atom_site_fract_y
_atom_site_fract_z
Ac1 0.309 0.309 0.269
Ac2 0.691 0.691 0.731
Te1 0.000 0.000 0.000
P1 0.214 0.786 0.500
P2 0.786 0.214 0.500
```

Results
Space-group type   No. 12
Formation energy from raw total energies   -605.8 kJ/mol of formula units
Magnetization   0.0 μB/cell
Electronic total energy   -28.5 eV per cell
Crystal system   monoclinic


2.
## Ac3Te12P5 (GGA-PBE)

Data for crystalline Ac3Te12P5 at its relaxed geometry.

CIF file:
```
data_Ac3Te12P5
_chemical_formula_sum 'Ac12 Te48 P20'
_space_group_name_H-M_alt 'P 1'
_space_group_IT_number 1
_space_group_name_Hall 'P 1'
_cell_length_a 15.269
_cell_length_b 15.269
_cell_length_c 15.269
_cell_angle_alpha 109.47
_cell_angle_beta 109.47
_cell_angle_gamma 109.47
loop_
_atom_site_label
_atom_site_fract_x
_atom_site_fract_y
_atom_site_fract_z
P1 0.125 0.375 0.250
P2 0.000 0.500 0.000
P3 0.000 0.000 0.000
P4 0.375 0.250 0.125
P5 0.500 0.000 0.500
P6 0.500 0.500 0.000
P7 0.125 0.750 0.375
P8 0.750 0.125 0.875
P9 0.750 0.625 0.375
P10 0.375 0.125 0.750
P11 0.625 0.875 0.250
P12 0.500 0.500 0.500
P13 0.500 0.000 0.000
P14 0.000 0.000 0.500
P15 0.250 0.375 0.625
P16 0.250 0.875 0.125
P17 0.000 0.500 0.500
P18 0.875 0.250 0.625
P19 0.625 0.750 0.875
P20 0.875 0.625 0.750
Ac1 0.750 0.375 0.125
Ac2 0.875 0.750 0.125
Ac3 0.375 0.750 0.625
Ac4 0.250 0.125 0.375
Ac5 0.875 0.125 0.250
Ac6 0.375 0.625 0.250
Ac7 0.625 0.375 0.750
Ac8 0.125 0.875 0.750
Ac9 0.750 0.875 0.625
Ac10 0.625 0.250 0.375
Ac11 0.125 0.250 0.875
Ac12 0.250 0.625 0.875
Te1 0.701 0.118 0.026
Te2 0.325 0.526 0.408
Te3 0.974 0.382 0.299
Te4 0.526 0.201 0.118
Te5 0.583 0.701 0.675
Te6 0.974 0.592 0.175
Te7 0.325 0.799 0.417
Te8 0.092 0.917 0.118
Te9 0.592 0.974 0.675
Te10 0.701 0.583 0.175
Te11 0.799 0.474 0.382
Te12 0.825 0.908 0.026
Te13 0.118 0.701 0.526
Te14 0.382 0.408 0.083
Te15 0.083 0.908 0.382
Te16 0.417 0.118 0.592
Te17 0.083 0.175 0.201
Te18 0.474 0.675 0.092
Te19 0.825 0.917 0.299
Te20 0.118 0.417 0.092
Te21 0.382 0.974 0.799
Te22 0.592 0.618 0.417
Te23 0.908 0.825 0.526
Te24 0.799 0.325 0.917
Te25 0.408 0.382 0.583
Te26 0.092 0.175 0.474
Te27 0.201 0.675 0.083
Te28 0.175 0.083 0.701
Te29 0.618 0.026 0.201
Te30 0.882 0.583 0.908
Te31 0.526 0.325 0.908
Te32 0.583 0.882 0.408
Te33 0.917 0.825 0.799
Te34 0.917 0.092 0.618
Te35 0.882 0.299 0.474
Te36 0.175 0.092 0.974
Te37 0.618 0.592 0.917
Te38 0.408 0.026 0.325
Te39 0.299 0.417 0.825
Te40 0.201 0.526 0.618
Te41 0.908 0.083 0.882
Te42 0.675 0.201 0.583
Te43 0.474 0.799 0.882
Te44 0.026 0.408 0.825
Te45 0.417 0.299 0.325
Te46 0.026 0.618 0.701
Te47 0.675 0.474 0.592
Te48 0.299 0.882 0.974
```

Results
Space-group type   No. 230
Formation energy from raw total energies   -735.9 kJ/mol of formula units
Magnetization   0.0 μB/cell
Electronic total energy   -338.8 eV per cell
Crystal system   cubic


3.
## AcTeP (GGA-PBE)

Data for crystalline AcTeP at its relaxed geometry.

CIF file:
```
data_AcTeP
_chemical_formula_sum 'Ac1 Te1 P1'
_space_group_name_H-M_alt 'P 1'
_space_group_IT_number 1
_space_group_name_Hall 'P 1'
_cell_length_a 4.490
_cell_length_b 5.022
_cell_length_c 5.022
_cell_angle_alpha 120.00
_cell_angle_beta 90.00
_cell_angle_gamma 90.00
loop_
_atom_site_label
_atom_site_fract_x
_atom_site_fract_y
_atom_site_fract_z
P1 0.168 0.667 0.333
Ac1 0.165 0.000 0.000
Te1 0.666 0.333 0.667
```

Results
Space-group type   No. 156
Energy above the lowest structure with this stoichiometry   186 kJ/mol of formula units
Formation energy from raw total energies   -163.5 kJ/mol of formula units
Magnetization   0.0 μB/cell
Electronic total energy   -14.4 eV per cell
Crystal system   trigonal